1.
The following is a DFT calculation (GGA+U) of crystalline V2CdO6 at its relaxed geometry.

Unit cell a=14.3881 b=5.8550 c=4.9630 alpha=90.00 beta=90.00 gamma=90.00
Last column: nearest neighbours and their distance in Å.
Space group Pbcn (No. 60)
One atom of each set of equivalent atoms:
V 0.1678 0.1818 0.2289 (multiplicity 8)  3 O 1.69-1.82
Cd 0.0000 0.2872 0.7500 (multiplicity 4)  6 O 2.25-2.44
O 0.0901 0.3776 0.1177 (multiplicity 8)  1 V 1.69
O 0.1068 0.0800 0.5277 (multiplicity 8)  2 V 1.82-2.03
O 0.2463 0.1485 0.9007 (multiplicity 8)  2 V 1.80-1.99

Computed properties:
**Electronic total energy**: -6.74 eV per atom
**DOS at the Fermi energy**: 0.00 states/eV per cell

---

2.
The following is a DFT calculation (GGA+U) of crystalline V2Cd3O8 at its relaxed geometry.

Unit cell a=7.0169 b=5.4615 c=10.0249 alpha=90.00 beta=90.00 gamma=90.00
Last column: nearest neighbours and their distance in Å.
Space group Pmc2_1 (No. 26)
One atom of each set of equivalent atoms:
V 0.0000 0.2276 0.0000 (multiplicity 2)  4 O 1.73-1.77
V 0.5000 0.2487 0.3558 (multiplicity 2)  4 O 1.69-1.84
Cd 0.2415 0.2618 0.6807 (multiplicity 4)  6 O 2.25-2.48
Cd 0.5000 0.2466 0.0311 (multiplicity 2)  4 O 2.24-2.36
O 0.0000 0.2140 0.8260 (multiplicity 2)  1 V 1.75
O 0.0000 0.4739 0.5569 (multiplicity 2)  1 V 1.73
O 0.2102 0.0799 0.0540 (multiplicity 4)  1 V 1.77
O 0.3094 0.3792 0.2814 (multiplicity 4)  1 V 1.69
O 0.5000 0.0746 0.8156 (multiplicity 2)  1 V 1.81
O 0.5000 0.3421 0.5324 (multiplicity 2)  1 V 1.84

Computed properties:
**Electronic total energy**: -5.93 eV per atom
**Energy relative to the lowest polymorph listed for this composition**: 10 meV per atom
**DOS at the Fermi energy**: 0.00 states/eV per cell

---

3.
The following is a DFT calculation (GGA+U) of crystalline VCdO3 at its relaxed geometry.

Unit cell a=14.6363 b=3.6268 c=5.3565 alpha=90.00 beta=90.00 gamma=90.00
Last column: nearest neighbours and their distance in Å.
Space group Pnma (No. 62)
One atom of each set of equivalent atoms:
V 0.0818 0.2500 0.0732 (multiplicity 4)  1 O 1.71
Cd 0.1815 0.7500 0.6197 (multiplicity 4)  5 O 2.25-2.43
O 0.0553 0.7500 0.9511 (multiplicity 4)  3 V 1.97-2.01
O 0.1139 0.2500 0.3801 (multiplicity 4)  1 V 1.71
O 0.1924 0.2500 0.8783 (multiplicity 4)  1 V 1.93

Computed properties:
**Electronic total energy**: -6.30 eV per atom
**DOS at the Fermi energy**: 0.00 states/eV per cell

---

4.
The following is a DFT calculation (GGA+U) of crystalline VCdO3 at its relaxed geometry.

Unit cell a=3.8442 b=3.8442 c=3.8442 alpha=90.00 beta=90.00 gamma=90.00
Last column: nearest neighbours and their distance in Å.
Space group Pm-3m (No. 221)
One atom of each set of equivalent atoms:
V 0.0000 0.0000 0.0000 (multiplicity 1)  6 O 1.92
Cd 0.5000 0.5000 0.5000 (multiplicity 1)  12 O 2.72
O 0.0000 0.0000 0.5000 (multiplicity 3)  2 V 1.92

Computed properties:
**Electronic total energy**: -6.06 eV per atom
**DOS at the Fermi energy**: 1.27 states/eV per cell

---

5.
The following is a DFT calculation (GGA+U) of crystalline V2CdO6 at its relaxed geometry.

Unit cell a=10.6609 b=9.7700 c=5.9999 alpha=90.00 beta=110.32 gamma=90.00
Last column: nearest neighbours and their distance in Å.
Space group C2/c (No. 15)
One atom of each set of equivalent atoms:
V 0.2016 0.0827 0.2404 (multiplicity 8)  4 O 1.67-1.80
Cd 0.0000 0.3990 0.2500 (multiplicity 4)  6 O 2.26-2.37
O 0.1271 0.4288 0.6483 (multiplicity 8)  1 V 1.72
O 0.1424 0.0027 0.9514 (multiplicity 8)  2 V 1.80
O 0.1527 0.2463 0.2180 (multiplicity 8)  1 V 1.67

Computed properties:
**Electronic total energy**: -6.78 eV per atom
**DOS at the Fermi energy**: 0.00 states/eV per cell

---

6.
The following is a DFT calculation (GGA+U) of crystalline V2CdO6 at its relaxed geometry.

Unit cell a=10.3637 b=3.6548 c=7.2389 alpha=90.00 beta=101.31 gamma=90.00
Last column: nearest neighbours and their distance in Å.
Space group C2/m (No. 12)
One atom of each set of equivalent atoms:
V 0.2446 0.0000 0.1762 (multiplicity 4)  2 O 1.66-1.72
Cd 0.0000 0.0000 0.5000 (multiplicity 2)  6 O 2.27-2.35
O 0.1028 0.0000 0.2508 (multiplicity 4)  1 V 1.66
O 0.1273 0.5000 0.6330 (multiplicity 4)  1 V 1.72
O 0.2400 0.0000 0.8954 (multiplicity 4)  3 V 1.91-2.02

Computed properties:
**Electronic total energy**: -6.78 eV per atom
**DOS at the Fermi energy**: 0.00 states/eV per cell